Record 1
{
  "formula": "K2Ir3",
  "functional": "meta-GGA SCAN",
  "state": "single point on PBEsol structure",
  "spacegroup": "No. 166",
  "total_energy_ev_per_atom": -45.12,
  "lattice": [[4.927, 0.000, 0.000], [2.464, 4.267, 0.000], [2.464, 1.422, 5.096]],
  "species": ["Ir", "Ir", "Ir", "K", "K"],
  "frac_coords": [[0.000, 0.000, 0.000], [0.153, 0.153, 0.541], [0.847, 0.847, 0.459], [0.610, 0.610, 0.171], [0.390, 0.390, 0.829]]
}

=====

Record 2
{
  "formula": "K2Ir",
  "functional": "meta-GGA SCAN",
  "state": "single point on PBEsol structure",
  "spacegroup": "No. 164",
  "total_energy_ev_per_atom": -28.27,
  "lattice": [[3.053, 0.000, 0.000], [-1.526, 2.644, 0.000], [0.000, 0.000, 9.318]],
  "species": ["Ir", "K", "K"],
  "frac_coords": [[0.000, 0.000, 0.000], [0.333, 0.667, 0.270], [0.667, 0.333, 0.730]]
}

=====

Record 3
{
  "formula": "KIr5",
  "functional": "meta-GGA SCAN",
  "state": "single point on PBEsol structure",
  "spacegroup": "No. 38",
  "total_energy_ev_per_atom": -60.17,
  "lattice": [[2.692, 0.000, 0.000], [0.000, 4.273, 0.000], [-1.346, 0.000, 9.538]],
  "species": ["Ir", "Ir", "Ir", "Ir", "Ir", "K"],
  "frac_coords": [[0.960, 0.000, 0.921], [0.339, 0.000, 0.677], [0.718, 0.000, 0.436], [0.426, 0.500, 0.852], [0.793, 0.500, 0.587], [0.097, 0.500, 0.194]]
}

=====

Record 4
{
  "formula": "KLa2Ir",
  "functional": "meta-GGA SCAN",
  "state": "single point on PBEsol structure",
  "spacegroup": "No. 44",
  "total_energy_ev_per_atom": -41.68,
  "de_polymorph_mev_per_atom": 265.6,
  "lattice": [[3.761, 0.000, 0.000], [0.000, 3.967, 0.000], [-1.881, -1.984, 10.553]],
  "species": ["Ir", "K", "La", "La"],
  "frac_coords": [[0.452, 0.452, 0.904], [0.187, 0.687, 0.373], [0.005, 0.005, 0.009], [0.857, 0.357, 0.713]]
}

=====

Record 5
{
  "formula": "KLa2Ir",
  "functional": "meta-GGA SCAN",
  "state": "single point on PBEsol structure",
  "spacegroup": "No. 12",
  "total_energy_ev_per_atom": -41.95,
  "de_polymorph_mev_per_atom": 1.5,
  "lattice": [[4.225, 0.000, 0.000], [-2.113, 3.664, -0.025], [0.000, -2.311, 10.488]],
  "species": ["K", "Ir", "La", "La"],
  "frac_coords": [[0.500, 0.000, 0.000], [0.000, 0.000, 0.500], [0.712, 0.423, 0.639], [0.288, 0.577, 0.361]]
}

=====

Record 6
{
  "formula": "KLa2Ir",
  "functional": "meta-GGA SCAN",
  "state": "single point on PBEsol structure",
  "spacegroup": "No. 8",
  "total_energy_ev_per_atom": -41.95,
  "de_polymorph_mev_per_atom": 0.0,
  "lattice": [[4.233, 0.000, 0.000], [2.117, 3.663, -0.184], [2.117, 1.759, 10.293]],
  "species": ["Ir", "K", "La", "La"],
  "frac_coords": [[0.583, 0.584, 0.249], [0.750, 0.748, 0.752], [0.963, 0.964, 0.110], [0.204, 0.204, 0.389]]
}

=====

Record 7
{
  "formula": "KLaNi2Ir",
  "functional": "meta-GGA SCAN",
  "state": "single point on PBEsol structure",
  "spacegroup": "No. 123",
  "total_energy_ev_per_atom": -29.22,
  "lattice": [[-2.934, 3.117, -0.143], [-3.097, -2.933, -0.387], [-0.466, -0.199, 5.228]],
  "species": ["Ni", "Ni", "K", "Ir", "La"],
  "frac_coords": [[0.000, 0.500, 0.000], [0.500, 0.000, 0.000], [0.000, 0.000, 0.000], [0.500, 0.500, 0.500], [0.000, 0.000, 0.500]]
}

=====

Record 8
{
  "formula": "KLa2IrPd",
  "functional": "meta-GGA SCAN",
  "state": "single point on PBEsol structure",
  "spacegroup": "No. 123",
  "total_energy_ev_per_atom": -39.89,
  "lattice": [[5.280, 0.000, 0.000], [0.000, 5.422, 0.000], [0.000, 0.000, 5.422]],
  "species": ["K", "Ir", "Pd", "La", "La"],
  "frac_coords": [[0.500, 0.500, 0.500], [0.000, 0.000, 0.000], [0.500, 0.000, 0.000], [0.000, 0.000, 0.500], [0.000, 0.500, 0.000]]
}